A plane-wave DFT calculation with GGA-PBE was carried out for Rb2CdHgF after structural relaxation.

The calculation puts the total energy at -1.974 eV per atom. The formation energy (no corrections) comes out at -969.2 meV per atom.

Unit cell a=5.479 b=5.479 c=5.915 alpha=90.00 beta=90.00 gamma=90.00
Fractional coordinates of all 5 atoms:
Rb 0.000 0.500 0.000
Rb 0.500 0.000 0.000
Cd 0.000 0.000 0.500
Hg 0.500 0.500 0.500
F 0.000 0.000 0.000